Compound: Th6TlHg2
Source: Alexandria via LeMat-Bulk
Functional: PBE
Structure: optimized geometry

As for the formation energy: -0.06 eV per atom. The total energy is -5.3367 eV/atom. The calculation puts the total magnetization at 0.000 μB per atom. The density of states at the Fermi level is 19.97 states/eV per cell.

The space group is C2/m (No. 12) and the conventional cell measures 11.377, 4.958 and 10.442 Å, with angles of 90.00, 114.73 and 90.00 degrees. The inequivalent atoms are Th at (0.029, 0.000, 0.348), Th at (0.157, 0.500, 0.893), Th at (0.181, 0.500, 0.233), Tl at (0.000, 0.000, 0.000) and Hg at (0.150, 0.500, 0.569).

Compound: Th2TlHg
Source: Alexandria via LeMat-Bulk
Functional: PBE
Structure: optimized geometry

As for the formation energy: -0.18 eV per atom. The total energy is -4.5570 eV/atom. The calculation puts the total magnetization at 0.000 μB per atom. The density of states at the Fermi level is 3.85 states/eV per cell.

The space group is P4/mmm (No. 123) and the conventional cell measures 4.924, 4.924 and 4.648 Å, with angles of 90.00, 90.00 and 90.00 degrees. The inequivalent atoms are Th at (0.000, 0.500, 0.000), Tl at (0.000, 0.000, 0.500) and Hg at (0.500, 0.500, 0.500).

Compound: Th2TlHg
Source: Alexandria via LeMat-Bulk
Functional: PBE
Structure: optimized geometry

As for the formation energy: -0.18 eV per atom. The total energy is -4.5606 eV/atom. The calculation puts the total magnetization at 0.001 μB per atom. The density of states at the Fermi level is 5.58 states/eV per cell.

The space group is P4/mmm (No. 123) and the conventional cell measures 3.508, 3.508 and 9.184 Å, with angles of 90.00, 90.00 and 90.00 degrees. The inequivalent atoms are Th at (0.000, 0.000, 0.244), Tl at (0.500, 0.500, 0.500) and Hg at (0.500, 0.500, 0.000).

Repeat the third record exactly.
Compound: Th2TlHg
Source: Alexandria via LeMat-Bulk
Functional: PBE
Structure: optimized geometry

As for the formation energy: -0.18 eV per atom. The total energy is -4.5606 eV/atom. The calculation puts the total magnetization at 0.001 μB per atom. The density of states at the Fermi level is 5.58 states/eV per cell.

The space group is P4/mmm (No. 123) and the conventional cell measures 3.508, 3.508 and 9.184 Å, with angles of 90.00, 90.00 and 90.00 degrees. The inequivalent atoms are Th at (0.000, 0.000, 0.244), Tl at (0.500, 0.500, 0.500) and Hg at (0.500, 0.500, 0.000).